This record from the Alexandria database describes a relaxed structure of Hg2WBr. The functional is GGA-PBE.

Geometry as extended XYZ:
```
4
Lattice="-2.7361 1.1853 0.7663 -0.4674 -2.3380 1.9477 4.2205 5.1167 7.1546" Properties=species:S:1:pos:R:3 pbc="T T T"
Br 1.2156 2.8392 6.1330
Hg 0.0931 0.1129 0.1579
Hg -0.3362 0.9579 3.5024
W 2.1548 2.6124 3.6528
```

Results
The space group is P4mm. As for the energy above the most stable polymorph in this dataset: 0.111 eV/atom. The value obtained for the uncorrected formation energy is 58.6 kJ per mole of atoms.


This record from the Alexandria database describes a relaxed structure of Sm3YTh2. The functional is GGA-PBE.

Geometry as extended XYZ:
```
12
Lattice="6.6442 -0.0711 0.0363 0.0944 6.1694 -3.1476 -0.0472 0.8942 9.3724" Properties=species:S:1:pos:R:3 pbc="T T T"
Sm 5.0304 5.8397 3.9579
Sm 1.6611 1.1527 2.3033
Sm 5.0515 5.9508 0.3839
Sm 1.6400 1.0416 5.8773
Sm 5.0093 2.8808 1.9502
Sm 1.6821 4.1116 4.3110
Y 4.9832 2.7556 5.5327
Y 1.7083 4.2368 0.7284
Th 6.7116 4.5464 -2.3183
Th 3.3492 1.5173 -0.7728
Th -0.0202 2.4460 8.5794
Th 3.3423 5.4751 7.0340
```

Results
The space group is C2/c. As for the energy above the most stable polymorph in this dataset: 0.135 eV/atom. The value obtained for the formation enthalpy at 0 K is 1.04 eV per formula unit.


This record from the Alexandria database describes a relaxed structure of PmEu2Y. The functional is GGA-PBE.

Geometry as extended XYZ:
```
4
Lattice="3.6084 0.0000 0.0000 1.8042 3.1250 0.0000 1.8042 1.0417 13.0082" Properties=species:S:1:pos:R:3 pbc="T T T"
Eu 1.8042 1.0417 9.6301
Eu 5.4126 3.1250 3.3781
Y 0.0000 0.0000 0.0000
Pm 3.6084 2.0833 6.5041
```

Results
The space group is R-3m. As for the energy above the most stable polymorph in this dataset: 0.112 eV/atom. The value obtained for the formation enthalpy at 0 K is 0.87 eV per formula unit.


This record from the Alexandria database describes a relaxed structure of Cu2AgPb2. The functional is GGA-PBE.

Geometry as extended XYZ:
```
5
Lattice="-3.1243 -1.5094 0.2346 1.5255 -3.0552 0.6579 -0.9997 -0.5333 9.0329" Properties=species:S:1:pos:R:3 pbc="T T T"
Pb -0.8452 -1.8820 2.4118
Pb -1.7532 -3.2160 7.5136
Cu -2.4617 -2.1625 4.8568
Cu -0.1368 -2.9355 5.0685
Ag 0.0000 0.0000 0.0000
```

Results
The space group is I4/mmm. As for the energy above the most stable polymorph in this dataset: 0.038 eV/atom. The value obtained for the formation enthalpy at 0 K is 1.09 eV per formula unit.


> Which formula does entry 2 have?

Sm3YTh2